The following is a PBE calculation of ScTa2Sb after structural relaxation, from the Alexandria database.

Results
VASP energy: -8.4336 eV per atom
Calculated density: 11.09 g/cm3
Size of the total moment: 0.00 μB per cell
ΔE_f (raw): 2.5 kcal/mol of atoms

Lattice parameters (Å, degrees): 4.9308 4.9308 3.4025 90.00 90.00 106.96
Last column: nearest neighbours and their distance in Å.
Atoms (fractional coordinates):
Sb1 0.5000 0.0000 0.5000  2 Sc 2.93, 8 Ta 3.00
Ta1 0.0000 0.0000 0.0000  2 Ta 2.93, 4 Sc 3.00, 4 Sb 3.00
Ta2 0.5000 0.5000 0.0000  2 Ta 2.93, 4 Sb 3.00, 4 Sc 3.00
Sc1 0.0000 0.5000 0.5000  2 Sb 2.93, 8 Ta 3.00



The following is a PBE calculation of Sr3Mg2Al7 after structural relaxation, from the Alexandria database.

Results
VASP energy: -3.0790 eV per atom
Calculated density: 2.97 g/cm3
Size of the total moment: 0.00 μB per cell
DFT formation energy: -210 meV/atom

Lattice parameters (Å, degrees): 5.8704 5.8704 9.9563 72.85 72.85 60.00
Last column: nearest neighbours and their distance in Å.
Atoms (fractional coordinates):
Sr1 0.8577 0.8577 0.4268  12 Al 3.36-3.46, 3 Sr 3.66
Sr2 0.1423 0.1423 0.5732  12 Al 3.36-3.46, 3 Sr 3.66
Sr3 0.0000 0.0000 0.0000  6 Mg 3.39, 12 Al 3.77
Al1 0.5000 0.5000 0.5000  6 Al 2.88
Al2 0.5869 0.5869 0.7469  5 Al 2.88-2.98, 2 Mg 2.90-2.93
Al3 0.5869 0.0793 0.7469  5 Al 2.88-2.98, 2 Mg 2.90-2.93
Al4 0.0793 0.5869 0.7469  5 Al 2.88-2.98, 2 Mg 2.90-2.93
Al5 0.4131 0.4131 0.2531  5 Al 2.88-2.98, 2 Mg 2.90-2.93
Al6 0.9207 0.4131 0.2531  5 Al 2.88-2.98, 2 Mg 2.90-2.93
Al7 0.4131 0.9207 0.2531  5 Al 2.88-2.98, 2 Mg 2.90-2.93
Mg1 0.6653 0.6653 0.0040  6 Al 2.90-2.93
Mg2 0.3347 0.3347 0.9960  6 Al 2.90-2.93



The following is a PBE calculation of Zr2CrAg after structural relaxation, from the Alexandria database.

Results
Relative energy among the computed polymorphs: 167.5 meV/atom
VASP energy: -7.1950 eV per atom
Calculated density: 7.21 g/cm3
Size of the total moment: 3.59 μB per cell
DFT formation energy: 198 meV/atom

Lattice parameters (Å, degrees): 3.3255 3.3255 7.1308 90.00 90.00 90.00
Last column: nearest neighbours and their distance in Å.
Atoms (fractional coordinates):
Cr1 0.5000 0.5000 0.7423  4 Ag 2.83, 4 Zr 2.87
Zr1 0.0000 0.0000 0.9735  4 Cr 2.87, 4 Zr 3.12, 1 Ag 3.22
Zr2 0.5000 0.5000 0.2617  4 Ag 3.00, 8 Zr 3.12-3.33
Ag1 0.0000 0.0000 0.5225  4 Cr 2.83, 4 Zr 3.00



The following is a PBE calculation of Rb2SnPdBr6 after structural relaxation, from the Alexandria database.

Results
VASP energy: -3.1341 eV per atom
Calculated density: 4.35 g/cm3
Size of the total moment: 0.00 μB per cell
ΔE_f (raw): -23.5 kcal/mol of atoms

Lattice parameters (Å, degrees): 7.7922 7.7922 7.7874 59.98 59.98 90.00
Last column: nearest neighbours and their distance in Å.
Atoms (fractional coordinates):
Br1 0.2568 0.2568 0.0000  1 Pd 2.68, 1 Sn 2.83
Br2 0.7432 0.2568 0.0000  1 Pd 2.68, 1 Sn 2.83
Br3 0.7423 0.7423 0.5154  1 Pd 2.67, 1 Sn 2.84
Br4 0.2568 0.7432 0.0000  1 Pd 2.68, 1 Sn 2.83
Br5 0.7432 0.7432 0.0000  1 Pd 2.68, 1 Sn 2.83
Br6 0.2577 0.2577 0.4846  1 Pd 2.67, 1 Sn 2.84
Pd1 0.5000 0.5000 0.0000  6 Br 2.67-2.68
Rb1 0.7500 0.2500 0.5000  12 Br 3.89-3.90
Rb2 0.2500 0.7500 0.5000  12 Br 3.89-3.90
Sn1 0.0000 0.0000 0.0000  6 Br 2.83-2.84



The following is a PBE calculation of Zr2PtPb after structural relaxation, from the Alexandria database.

Results
VASP energy: -7.0915 eV per atom
Calculated density: 10.17 g/cm3
Size of the total moment: 0.00 μB per cell
DFT formation energy: -380 meV/atom

Lattice parameters (Å, degrees): 8.4941 8.4941 8.4941 24.88 24.88 24.88
Last column: nearest neighbours and their distance in Å.
Atoms (fractional coordinates):
Zr1 0.0152 0.0152 0.0152  3 Pt 2.70
Zr2 0.4848 0.4848 0.4848  3 Pt 2.70
Pb1 0.2500 0.2500 0.2500  6 Zr 3.22
Pt1 0.7500 0.7500 0.7500  6 Zr 2.70



The following is a PBE calculation of La4Dy2Th after structural relaxation, from the Alexandria database.

Results
Relative energy among the computed polymorphs: 206.8 meV/atom
VASP energy: -4.9000 eV per atom
Calculated density: 7.50 g/cm3
Size of the total moment: 0.00 μB per cell
DFT formation energy: 291 meV/atom

Lattice parameters (Å, degrees): 3.5454 8.3368 8.3368 90.00 90.00 90.00
Last column: nearest neighbours and their distance in Å.
Atoms (fractional coordinates):
La1 0.9998 0.2906 0.2906  1 Th 3.43, 4 Dy 3.47, 4 La 3.49-3.55
La2 0.9998 0.7094 0.7094  1 Th 3.43, 4 Dy 3.47, 4 La 3.49-3.55
La3 0.0002 0.2906 0.7094  1 Th 3.43, 4 Dy 3.47, 4 La 3.49-3.55
La4 0.0002 0.7094 0.2906  1 Th 3.43, 4 Dy 3.47, 4 La 3.49-3.55
Th1 0.0000 0.0000 0.0000  4 La 3.43, 2 Th 3.55
Dy1 0.5000 0.5000 0.0000  8 La 3.47, 2 Dy 3.55
Dy2 0.5000 0.0000 0.5000  8 La 3.47, 2 Dy 3.55